[1]
Compound: Ac2DyAg5
Source: Alexandria via LeMat-Bulk
Functional: PBE-GGA
Structure: relaxed

For the size of the total moment, the calculation gives 0.00 μB/f.u. As for the theoretical density: 9.192 g cm⁻³.

Cell lengths 5.3318, 5.3318, 8.2560 Å; angles 108.84, 108.84, 90.00 degrees
Element x y z (fractional)
Ac 0.7266 0.7266 0.4531
Dy 0.0000 0.0000 0.0000
Ac 0.2734 0.2734 0.5469
Ag 0.3974 0.8974 0.7948
Ag 0.1026 0.6026 0.2052
Ag 0.5000 0.5000 0.0000
Ag 0.8974 0.3974 0.7948
Ag 0.6026 0.1026 0.2052

=====

[2]
Compound: AcDy5Ag4
Source: Alexandria via LeMat-Bulk
Functional: PBE-GGA
Structure: relaxed

For the size of the total moment, the calculation gives 0.00 μB/f.u. As for the theoretical density: 9.185 g cm⁻³.

Cell lengths 3.6318, 3.6318, 20.1619 Å; angles 90.00, 90.00, 90.00 degrees
Element x y z (fractional)
Ag 0.0000 0.0000 0.5910
Ag 0.0000 0.0000 0.7735
Dy 0.5000 0.5000 0.1373
Dy 0.5000 0.5000 0.5000
Ac 0.0000 0.0000 0.0000
Ag 0.0000 0.0000 0.2265
Dy 0.5000 0.5000 0.6823
Ag 0.0000 0.0000 0.4090
Dy 0.5000 0.5000 0.8627
Dy 0.5000 0.5000 0.3177

=====

[3]
Compound: AcDyAg4
Source: Alexandria via LeMat-Bulk
Functional: PBE-GGA
Structure: relaxed

For the size of the total moment, the calculation gives 0.00 μB/f.u. The energy above the lowest structure with this stoichiometry is 145.1 meV per atom. As for the theoretical density: 9.604 g cm⁻³.

Cell lengths 5.8553, 5.8553, 5.8553 Å; angles 60.00, 60.00, 60.00 degrees
Element x y z (fractional)
Ag 0.6259 0.1222 0.6259
Ag 0.1222 0.6259 0.6259
Ag 0.6259 0.6259 0.1222
Dy 0.0000 0.0000 0.0000
Ac 0.2500 0.2500 0.2500
Ag 0.6259 0.6259 0.6259

=====

[4]
Compound: AcDyAg4
Source: Alexandria via LeMat-Bulk
Functional: PBE-GGA
Structure: relaxed

For the size of the total moment, the calculation gives 0.00 μB/f.u. The energy above the lowest structure with this stoichiometry is 0.0 meV per atom. As for the theoretical density: 9.135 g cm⁻³.

Cell lengths 4.8186, 4.8184, 8.8416 Å; angles 74.22, 74.21, 119.98 degrees
Element x y z (fractional)
Ag 0.1223 0.4516 0.7103
Ag 0.5472 0.8764 0.2859
Ag 0.8803 0.5430 0.2860
Ac 0.5013 0.4973 0.9981
Ag 0.4554 0.1182 0.7104
Dy 0.0013 0.9973 0.4981

=====

What did we get for ΔE_f? Answer: -1.43; -2.38; -0.85; -1.72 eV/f.u., in the order shown.